No. 1
## MgBeTe (GGA-PBE)

Data for a geometry-optimized MgBeTe structure.

Properties
**Formation energy (no corrections)**: 0.85 eV/f.u.
**Energy relative to the lowest polymorph listed for this composition**: 29.2 kJ per mole of atoms
**Total magnetization**: 0.000 μB per formula unit
**Crystal system**: tetragonal
**Calculated volume**: 62 Å³ per cell
**E_tot**: -2.54 eV/atom
**D(E_F)**: 0.45 states/eV per atom

a b c (Å): 5.414 5.414 5.414
angles (deg): 141.09 141.09 56.19
Element x y z (fractional)
Mg (0.667, 0.667, 0.000)
Te (0.370, 0.370, 0.000)
Be (0.962, 0.962, 0.000)



No. 2
## LiInSi2O6 (GGA-PBE)

Data for a geometry-optimized LiInSi2O6 structure.

Properties
**Formation energy (no corrections)**: -23.54 eV/f.u.
**Energy relative to the lowest polymorph listed for this composition**: 5.3 kJ per mole of atoms
**Total magnetization**: 0.000 μB per formula unit
**Crystal system**: monoclinic
**Calculated volume**: 229 Å³ per cell
**E_tot**: -6.88 eV/atom
**D(E_F)**: 0.00 states/eV per atom

a b c (Å): 4.990 6.879 6.879
angles (deg): 89.36 79.91 79.91
Element x y z (fractional)
O (0.636, 0.784, 0.974)
O (0.420, 0.603, 0.707)
Si (0.210, 0.793, 0.623)
O (0.580, 0.397, 0.293)
O (0.858, 0.406, 0.846)
O (0.136, 0.974, 0.784)
O (0.642, 0.154, 0.594)
O (0.080, 0.293, 0.397)
O (0.364, 0.216, 0.026)
Li (0.250, 0.930, 0.070)
O (0.864, 0.026, 0.216)
O (0.142, 0.594, 0.154)
Si (0.290, 0.377, 0.207)
Si (0.790, 0.207, 0.377)
Si (0.710, 0.623, 0.793)
O (0.920, 0.707, 0.603)
O (0.358, 0.846, 0.406)
Li (0.750, 0.070, 0.930)
In (0.750, 0.738, 0.262)
In (0.250, 0.262, 0.738)



No. 3
## CoSeCl2 (GGA-PBE)

Data for a geometry-optimized CoSeCl2 structure.

Properties
**Formation energy (no corrections)**: 3.05 eV/f.u.
**Energy relative to the lowest polymorph listed for this composition**: 97.3 kJ per mole of atoms
**Total magnetization**: 2.019 μB per formula unit
**Crystal system**: tetragonal
**Calculated volume**: 76 Å³ per cell
**E_tot**: -2.81 eV/atom
**D(E_F)**: 1.70 states/eV per atom

a b c (Å): 4.922 4.922 4.922
angles (deg): 125.91 125.91 80.04
Element x y z (fractional)
Cl (0.500, 0.500, 0.000)
Co (0.250, 0.750, 0.500)
Cl (0.000, 0.000, 0.000)
Se (0.750, 0.250, 0.500)